La2Pr2NdTm: optimized geometry, GGA-PBE.

Structure (POSCAR):
```
La2Pr2NdTm
1.0
-4.387 -3.209 2.089
4.353 -2.673 5.038
-2.551 7.517 6.192
La Pr Nd Tm
4 4 2 2
Direct
0.500 0.008 0.000
0.000 0.258 0.178
0.500 0.508 0.000
0.000 0.758 0.822
0.000 0.258 0.836
0.500 0.258 0.332
0.000 0.758 0.164
0.500 0.758 0.668
0.500 0.257 0.657
0.500 0.757 0.343
0.000 0.007 0.500
0.000 0.507 0.500
```

Computed properties:
Calculated volume = 35.05 Å³/atom
Formation energy = 0.050 eV/atom
Crystal system = orthorhombic
Symmetry = No. 51

---

LaPr2NdTm2: optimized geometry, GGA-PBE.

Structure (POSCAR):
```
LaPr2NdTm2
1.0
-0.799 4.401 3.645
-8.208 -4.444 3.566
3.940 -3.344 4.900
La Pr Nd Tm
2 4 2 4
Direct
0.000 0.000 0.000
0.500 0.500 0.500
0.500 0.833 0.252
0.500 0.167 0.748
0.000 0.667 0.752
0.000 0.333 0.248
0.500 0.500 0.000
0.000 0.000 0.500
0.500 0.166 0.249
0.000 0.666 0.251
0.500 0.834 0.751
0.000 0.334 0.749
```

Computed properties:
Calculated volume = 34.21 Å³/atom
Formation energy = 0.067 eV/atom
Crystal system = orthorhombic
Symmetry = No. 58

---

La2PrNd3Tm6: optimized geometry, GGA-PBE.

Structure (POSCAR):
```
La2PrNd3Tm6
1.0
6.257 0.001 0.004
-3.126 5.420 0.004
-1.049 -1.817 11.575
La Pr Nd Tm
2 1 3 6
Direct
0.334 0.666 0.000
0.666 0.334 0.000
0.000 0.000 0.000
0.167 0.833 0.500
0.833 0.167 0.500
0.500 0.500 0.500
0.916 0.583 0.748
0.752 0.752 0.252
0.084 0.417 0.252
0.583 0.916 0.748
0.248 0.248 0.748
0.417 0.084 0.252
```

Computed properties:
Calculated volume = 32.72 Å³/atom
Formation energy = 0.017 eV/atom
Crystal system = monoclinic
Symmetry = No. 12

---

La2PrNdTm4: optimized geometry, GGA-PBE.

Structure (POSCAR):
```
La2PrNdTm4
1.0
9.385 -0.007 -1.799
-0.013 9.385 -1.799
-5.971 -5.976 8.423
La Pr Nd Tm
4 2 2 8
Direct
0.500 0.000 0.000
0.500 0.000 0.500
0.000 0.000 0.500
0.500 0.500 0.000
0.500 0.500 0.500
0.000 0.000 0.000
0.000 0.500 0.000
0.000 0.500 0.500
0.250 0.748 0.999
0.752 0.250 0.501
0.248 0.750 0.499
0.750 0.252 0.001
0.749 0.749 0.000
0.751 0.751 0.500
0.249 0.249 0.500
0.251 0.251 0.000
```

Computed properties:
Calculated volume = 33.75 Å³/atom
Formation energy = 0.388 eV/atom
Crystal system = orthorhombic
Symmetry = No. 74

---

LaPrNd2Tm4: optimized geometry, GGA-PBE.

Structure (POSCAR):
```
LaPrNd2Tm4
1.0
11.910 -0.253 -3.216
0.100 7.204 -0.196
-8.394 -3.257 8.436
La Pr Nd Tm
2 2 4 8
Direct
0.500 0.500 0.500
0.000 0.000 0.000
0.000 0.500 0.000
0.000 0.500 0.500
0.500 0.000 0.000
0.500 0.000 0.500
0.000 0.000 0.500
0.500 0.500 0.000
0.250 0.750 0.000
0.750 0.249 0.499
0.250 0.751 0.501
0.749 0.250 0.000
0.750 0.750 0.001
0.750 0.750 0.499
0.250 0.250 0.501
0.250 0.249 0.999
```

Computed properties:
Calculated volume = 32.66 Å³/atom
Formation energy = 0.017 eV/atom
Crystal system = monoclinic
Symmetry = No. 12

---

La4PrNdTm2: optimized geometry, GGA-PBE.

Structure (POSCAR):
```
La4PrNdTm2
1.0
3.681 0.000 0.000
0.000 11.896 -1.770
0.000 2.037 6.039
La Pr Nd Tm
4 1 1 2
Direct
0.000 0.757 0.747
0.000 0.243 0.253
0.500 0.756 0.248
0.500 0.244 0.752
0.500 0.500 0.000
0.000 0.500 0.500
0.000 0.000 0.000
0.500 0.000 0.500
```

Computed properties:
Calculated volume = 34.71 Å³/atom
Formation energy = 0.017 eV/atom
Crystal system = monoclinic
Symmetry = No. 10

---

LaPrNd2Tm: optimized geometry, GGA-PBE.

Structure (POSCAR):
```
LaPrNd2Tm
1.0
-0.811 5.000 4.063
-4.868 -5.394 5.666
6.321 -0.218 1.531
La Pr Nd Tm
2 2 4 2
Direct
0.000 0.000 0.000
0.000 0.000 0.500
0.161 0.500 0.750
0.839 0.500 0.250
0.677 0.684 0.841
0.677 0.316 0.659
0.323 0.684 0.341
0.323 0.316 0.159
0.501 0.000 0.250
0.499 0.000 0.750
```

Computed properties:
Calculated volume = 36.49 Å³/atom
Formation energy = 0.252 eV/atom
Crystal system = monoclinic
Symmetry = No. 13

---

La6PrNdTm2: optimized geometry, GGA-PBE.

Structure (POSCAR):
```
La6PrNdTm2
1.0
8.847 0.000 1.327
0.000 7.270 0.000
-2.027 -3.635 5.290
La Pr Nd Tm
6 1 1 2
Direct
0.444 0.643 0.286
0.197 0.043 0.644
0.803 0.398 0.356
0.197 0.602 0.644
0.803 0.957 0.356
0.556 0.357 0.714
0.000 0.500 0.000
0.500 0.000 0.000
0.159 0.093 0.186
0.841 0.907 0.814
```

Computed properties:
Calculated volume = 35.98 Å³/atom
Formation energy = 0.183 eV/atom
Crystal system = monoclinic
Symmetry = No. 12